Entry w
GGA-PBEsol FeIrSe2, optimized geometry; density = 8.8 g cm⁻³; total magnetization = 0.0 μB per formula unit
1.0
-1.200 -2.951 -2.056
2.598 -2.210 1.655
-3.483 -1.246 3.803
Fe Ir Se
1 1 2
direct
0.625 0.000 0.625
0.125 0.500 0.625
0.124 0.000 0.894
0.626 0.500 0.356

Entry x
GGA-PBEsol FeIrSe2, optimized geometry; density = 11.4 g cm⁻³; total magnetization = 1.8 μB per formula unit
1.0
-0.967 -2.571 1.292
1.355 -1.041 2.509
-4.608 2.672 5.433
Fe Ir Se
1 1 2
direct
0.500 0.500 0.500
0.000 0.000 0.000
0.243 0.243 0.272
0.757 0.757 0.728

Entry y
GGA-PBEsol FeIrSe2, optimized geometry; density = 10.6 g cm⁻³; total magnetization = 1.8 μB per formula unit
1.0
-1.338 -2.041 -1.576
0.361 -1.906 2.162
-6.619 2.074 2.933
Fe Ir Se
1 1 2
direct
0.000 0.000 0.496
0.500 0.500 0.736
0.000 0.000 0.944
0.500 0.500 0.324

Result of the stability comparison: entry w is the most stable of them.

Entry w
GGA-PBEsol SrFeIr2, optimized geometry; density = 13.5 g cm⁻³; total magnetization = 2.4 μB per formula unit
1.0
2.795 0.000 0.000
1.397 2.421 0.000
1.397 0.807 9.584
Fe Ir Sr
1 2 1
direct
0.262 0.262 0.213
0.997 0.997 0.008
0.741 0.741 0.778
0.500 0.500 0.501

Entry x
GGA-PBEsol SrFeIr2, optimized geometry; density = 13.1 g cm⁻³; total magnetization = 4.0 μB per formula unit
1.0
-0.415 -4.293 1.489
0.496 -3.481 -2.908
3.677 -2.688 0.266
Fe Ir Sr
1 2 1
direct
0.500 0.500 0.500
0.000 0.000 0.000
0.750 0.750 0.750
0.250 0.250 0.250

Entry y
GGA-PBEsol SrFeIr2, optimized geometry; density = 12.9 g cm⁻³; total magnetization = 3.7 μB per formula unit
1.0
4.131 0.000 0.000
0.000 4.131 0.000
0.000 0.000 3.977
Fe Ir Sr
1 2 1
direct
0.000 0.000 0.500
0.000 0.500 0.000
0.500 0.000 0.000
0.500 0.500 0.500

Result of the stability comparison: entry y is the most stable of them.

Entry w
GGA-PBEsol KLi2Fe, optimized geometry; density = 2.2 g cm⁻³; total magnetization = 2.5 μB per formula unit
1.0
2.825 0.000 0.000
0.000 5.395 0.000
0.000 0.000 5.395
Fe K Li
1 1 2
direct
0.500 0.500 0.500
0.500 0.000 0.000
0.000 0.000 0.500
0.000 0.500 0.000

Entry x
GGA-PBEsol KLi2Fe, optimized geometry; density = 2.0 g cm⁻³; total magnetization = 2.7 μB per formula unit
1.0
-1.711 2.810 0.213
-0.687 -0.657 3.157
7.038 4.105 2.387
Fe K Li
1 1 2
direct
0.000 0.000 0.414
0.500 0.500 0.713
0.000 0.000 0.092
0.500 0.500 0.281

Entry y
GGA-PBEsol KLi2Fe, optimized geometry; density = 2.2 g cm⁻³; total magnetization = 2.5 μB per formula unit
1.0
2.781 0.000 0.000
0.000 5.726 -0.234
0.000 -2.117 5.325
Fe K Li
1 1 2
direct
0.500 0.000 0.000
0.500 0.500 0.500
0.000 0.500 0.000
0.000 0.000 0.500

Result of the stability comparison: entry x is the most stable of them.

Entry w
GGA-PBEsol KMgFe, optimized geometry; density = 2.9 g cm⁻³; total magnetization = 2.7 μB per formula unit
1.0
2.824 0.000 0.000
0.000 5.294 0.000
0.000 -2.647 4.585
Fe K Mg
1 1 1
direct
0.964 0.000 0.000
0.698 0.333 0.667
0.338 0.667 0.333

Entry x
GGA-PBEsol KMgFe, optimized geometry; density = 2.6 g cm⁻³; total magnetization = 2.4 μB per formula unit
1.0
2.923 0.000 0.000
0.000 4.272 0.000
-1.461 -2.136 6.158
Fe K Mg
1 1 1
direct
0.950 0.950 0.900
0.663 0.663 0.327
0.387 0.387 0.773

Result of the stability comparison: entry x is the most stable of them.

Entry w
GGA-PBEsol K2MnFe, optimized geometry; density = 3.2 g cm⁻³; total magnetization = 6.7 μB per formula unit
1.0
2.995 0.000 0.000
0.000 5.594 0.000
0.000 0.000 5.854
Fe K Mn
1 2 1
direct
0.500 0.500 0.500
0.000 0.000 0.746
0.000 0.000 0.254
0.500 0.500 0.000

Entry x
GGA-PBEsol K2MnFe, optimized geometry; density = 3.0 g cm⁻³; total magnetization = 6.9 μB per formula unit
1.0
-1.618 -5.018 -0.239
4.978 1.105 1.373
1.592 -0.751 4.975
Fe K Mn
1 2 1
direct
0.750 0.500 0.750
0.000 0.000 0.000
0.250 0.500 0.250
0.500 0.000 0.500

Result of the stability comparison: entry x is the most stable of them.

Entry w
GGA-PBEsol KMnFe2, optimized geometry; density = 5.0 g cm⁻³; total magnetization = 6.0 μB per formula unit
1.0
-2.453 -0.050 -1.715
-1.670 -0.620 2.406
-1.005 7.436 1.219
Fe K Mn
2 1 1
direct
0.000 0.000 0.647
0.000 0.000 0.353
0.500 0.500 0.000
0.500 0.500 0.500

Entry x
GGA-PBEsol KMnFe2, optimized geometry; density = 5.3 g cm⁻³; total magnetization = 9.2 μB per formula unit
1.0
-2.626 2.580 1.387
-2.922 -2.432 -1.011
0.205 -1.798 3.733
Fe K Mn
2 1 1
direct
0.000 0.500 0.000
0.500 0.000 0.000
0.500 0.500 0.500
0.000 0.000 0.500

Result of the stability comparison: entry w is the most stable of them.